Entry 1:
Entry from Alexandria: crystalline LiSb2TePb at its relaxed geometry (PBE).

Cell lengths 5.8527, 5.8527, 6.0104 Å; angles 90.00, 90.00, 90.00 degrees
Fractional positions:
Li  0.0000  0.0000  0.0000
Sb  0.0000  0.5000  0.5000
Sb  0.5000  0.0000  0.5000
Te  0.5000  0.5000  0.0000
Pb  0.5000  0.5000  0.5000

Properties
The value obtained for the uncorrected formation energy is 0.58 eV per atom. The space group is P4/mmm, No. 123. The calculation puts the polymorph energy (0 for the lowest one) at 0.405 eV/atom.

=====

Entry 2:
Entry from Alexandria: crystalline LiSb2TePb at its relaxed geometry (PBE).

Cell lengths 4.9800, 4.9800, 5.6561 Å; angles 90.00, 90.00, 90.00 degrees
Fractional positions:
Li  0.0000  0.0000  0.0000
Sb  0.0000  0.5000  0.0000
Sb  0.5000  0.0000  0.0000
Te  0.0000  0.0000  0.5000
Pb  0.5000  0.5000  0.5000

Properties
The value obtained for the uncorrected formation energy is 0.18 eV per atom. The space group is P4/mmm, No. 123. The calculation puts the polymorph energy (0 for the lowest one) at 0.000 eV/atom.

=====

Entry 3:
Entry from Alexandria: crystalline Li2TlSb2Pb at its relaxed geometry (PBE).

Cell lengths 4.8136, 4.8136, 7.9071 Å; angles 90.00, 90.00, 120.00 degrees
Fractional positions:
Li  0.3333  0.6667  0.1848
Li  0.6667  0.3333  0.8152
Tl  0.0000  0.0000  0.5000
Sb  0.3333  0.6667  0.7584
Sb  0.6667  0.3333  0.2416
Pb  0.0000  0.0000  0.0000

Properties
The value obtained for the uncorrected formation energy is -0.21 eV per atom. The space group is P-3m1, No. 164.